VASP calculation (GGA-PBEsol) on an optimized crystal structure of Tm2MgCu2.

Cell: 7.485 7.485 3.523 Å, 90.00 90.00 90.00°
Fractional positions:
Tm: 0.168 0.332 0.000
Tm: 0.332 0.832 0.000
Tm: 0.668 0.168 0.000
Tm: 0.832 0.668 0.000
Mg: 0.000 0.000 0.500
Mg: 0.500 0.500 0.500
Cu: 0.123 0.623 0.500
Cu: 0.377 0.123 0.500
Cu: 0.623 0.877 0.500
Cu: 0.877 0.377 0.500

Summary:
DFT total energy = -4.28 eV per atom
crystal system = tetragonal

=====

VASP calculation (GGA-PBEsol) on an optimized crystal structure of Ba2SbBr.

Cell: 5.350 6.744 6.744 Å, 38.41 90.00 90.00°
Fractional positions:
Ba: 0.000 0.000 0.000
Ba: 0.500 0.243 0.243
Sb: 0.000 0.728 0.728
Br: 0.500 0.493 0.493

Summary:
uncorrected formation energy = -1.395 eV/atom
crystal system = orthorhombic